Entry 1:
Material: KMg2Tl
Method: DFT, meta-GGA SCAN
State: PBEsol geometry

Geometry as CIF:
```
data_KMg2Tl
_cell_length_a 6.8106
_cell_length_b 11.6607
_cell_length_c 3.1913
_cell_angle_alpha 90.00
_cell_angle_beta 113.94
_cell_angle_gamma 90.00
_space_group_name_H-M_alt 'C 1 2/m 1'
_space_group_IT_number 12
loop_
_space_group_symop_operation_xyz
'x,y,z'
'-x,-y,-z'
'-x,y,-z'
'x,-y,z'
'x+1/2,y+1/2,z'
'-x+1/2,-y+1/2,-z'
'-x+1/2,y+1/2,-z'
'x+1/2,-y+1/2,z'
loop_
_atom_site_label
_atom_site_fract_x
_atom_site_fract_y
_atom_site_fract_z
_atom_site_occupancy
K1 0.0000 0.0000 0.0000 1
Mg1 0.2500 0.2500 0.5000 1
Tl1 0.0000 0.5000 0.0000 1
```

Results
spin magnetization	0.0	μB per cell
crystal system	monoclinic
formation enthalpy at 0 K	0.55	eV per formula unit

=====

Entry 2:
Material: KMgTl2
Method: DFT, meta-GGA SCAN
State: PBEsol geometry

Geometry as CIF:
```
data_KMgTl2
_cell_length_a 3.5253
_cell_length_b 3.8419
_cell_length_c 8.4901
_cell_angle_alpha 90.00
_cell_angle_beta 90.00
_cell_angle_gamma 90.00
_space_group_name_H-M_alt 'P m m m'
_space_group_IT_number 47
loop_
_space_group_symop_operation_xyz
'x,y,z'
'-x,-y,-z'
'-x,-y,z'
'x,y,-z'
'x,-y,-z'
'-x,y,z'
'-x,y,-z'
'x,-y,z'
loop_
_atom_site_label
_atom_site_fract_x
_atom_site_fract_y
_atom_site_fract_z
_atom_site_occupancy
K1 0.0000 0.0000 0.0000 1
Mg1 0.0000 0.0000 0.5000 1
Tl1 0.5000 0.5000 0.2970 1
```

Results
spin magnetization	0.0	μB per cell
crystal system	orthorhombic
formation enthalpy at 0 K	-0.81	eV per formula unit

=====

Entry 3:
Material: KMgTl2
Method: DFT, meta-GGA SCAN
State: PBEsol geometry

Geometry as CIF:
```
data_KMgTl2
_cell_length_a 3.9210
_cell_length_b 3.9210
_cell_length_c 8.1655
_cell_angle_alpha 90.00
_cell_angle_beta 90.00
_cell_angle_gamma 90.00
_space_group_name_H-M_alt 'P 4 m m'
_space_group_IT_number 99
loop_
_space_group_symop_operation_xyz
'x,y,z'
'-y,x,z'
'-x,-y,z'
'y,-x,z'
'-x,y,z'
'y,x,z'
'x,-y,z'
'-y,-x,z'
loop_
_atom_site_label
_atom_site_fract_x
_atom_site_fract_y
_atom_site_fract_z
_atom_site_occupancy
K1 0.0000 0.0000 0.0000 1
Mg1 0.5000 0.5000 0.3337 1
Tl1 0.0000 0.0000 0.4881 1
Tl2 0.5000 0.5000 0.7158 1
```

Results
spin magnetization	0.0	μB per cell
crystal system	tetragonal
formation enthalpy at 0 K	-0.28	eV per formula unit

=====

Entry 4:
Material: KMgW2
Method: DFT, meta-GGA SCAN
State: PBEsol geometry

Geometry as CIF:
```
data_KMgW2
_cell_length_a 3.0505
_cell_length_b 4.5017
_cell_length_c 11.0531
_cell_angle_alpha 90.00
_cell_angle_beta 90.00
_cell_angle_gamma 90.00
_space_group_name_H-M_alt 'C m m m'
_space_group_IT_number 65
_space_group_name_Hall '-C 2 2'
loop_
_atom_site_label
_atom_site_fract_x
_atom_site_fract_y
_atom_site_fract_z
_atom_site_occupancy
K1 0.0000 0.0000 0.0000 1
Mg1 0.0000 0.0000 0.5000 1
W1 0.0000 0.5000 0.2808 1
```

Results
spin magnetization	0.0	μB per cell
crystal system	orthorhombic
formation enthalpy at 0 K	4.09	eV per formula unit

=====

Entry 5:
Material: KMg3W
Method: DFT, meta-GGA SCAN
State: PBEsol geometry

Geometry as CIF:
```
data_KMg3W
_cell_length_a 5.4117
_cell_length_b 5.4117
_cell_length_c 5.4117
_cell_angle_alpha 90.00
_cell_angle_beta 90.00
_cell_angle_gamma 90.00
_space_group_name_H-M_alt 'P m -3 m'
_space_group_IT_number 221
_space_group_name_Hall '-P 4 2 3'
loop_
_atom_site_label
_atom_site_fract_x
_atom_site_fract_y
_atom_site_fract_z
_atom_site_occupancy
K1 0.0000 0.0000 0.0000 1
Mg1 0.0000 0.5000 0.5000 1
W1 0.5000 0.5000 0.5000 1
```

Results
spin magnetization	3.2	μB per cell
crystal system	cubic
formation enthalpy at 0 K	5.07	eV per formula unit

=====

Entry 6:
Material: KMg2W
Method: DFT, meta-GGA SCAN
State: PBEsol geometry

Geometry as CIF:
```
data_KMg2W
_cell_length_a 2.9930
_cell_length_b 2.9930
_cell_length_c 33.7456
_cell_angle_alpha 90.00
_cell_angle_beta 90.00
_cell_angle_gamma 120.00
_space_group_name_H-M_alt 'R -3 m'
_space_group_IT_number 166
_space_group_name_Hall '-R 3 2"'
loop_
_atom_site_label
_atom_site_fract_x
_atom_site_fract_y
_atom_site_fract_z
_atom_site_occupancy
K1 0.0000 0.0000 0.0000 1
Mg1 0.0000 0.0000 0.2364 1
W1 0.0000 0.0000 0.5000 1
```

Results
spin magnetization	0.0	μB per cell
crystal system	trigonal
formation enthalpy at 0 K	2.76	eV per formula unit

=====

Entry 7:
Material: KMgW2
Method: DFT, meta-GGA SCAN
State: PBEsol geometry

Geometry as CIF:
```
data_KMgW2
_cell_length_a 3.0667
_cell_length_b 5.6629
_cell_length_c 10.6561
_cell_angle_alpha 90.00
_cell_angle_beta 90.00
_cell_angle_gamma 90.00
_space_group_name_H-M_alt 'I m m 2'
_space_group_IT_number 44
loop_
_space_group_symop_operation_xyz
'x,y,z'
'-x,-y,z'
'-x,y,z'
'x,-y,z'
'x+1/2,y+1/2,z+1/2'
'-x+1/2,-y+1/2,z+1/2'
'-x+1/2,y+1/2,z+1/2'
'x+1/2,-y+1/2,z+1/2'
loop_
_atom_site_label
_atom_site_fract_x
_atom_site_fract_y
_atom_site_fract_z
_atom_site_occupancy
K1 0.0000 0.0000 0.0000 1
Mg1 0.0000 0.5000 0.7907 1
W1 0.0000 0.0000 0.5458 1
W2 0.0000 0.5000 0.2171 1
```

Results
spin magnetization	0.0	μB per cell
crystal system	orthorhombic
formation enthalpy at 0 K	5.16	eV per formula unit

=====

Entry 8:
Material: KMgW2
Method: DFT, meta-GGA SCAN
State: PBEsol geometry

Geometry as CIF:
```
data_KMgW2
_cell_length_a 3.2477
_cell_length_b 3.2477
_cell_length_c 9.0309
_cell_angle_alpha 90.00
_cell_angle_beta 90.00
_cell_angle_gamma 90.00
_space_group_name_H-M_alt 'P 4 m m'
_space_group_IT_number 99
loop_
_space_group_symop_operation_xyz
'x,y,z'
'-y,x,z'
'-x,-y,z'
'y,-x,z'
'-x,y,z'
'y,x,z'
'x,-y,z'
'-y,-x,z'
loop_
_atom_site_label
_atom_site_fract_x
_atom_site_fract_y
_atom_site_fract_z
_atom_site_occupancy
K1 0.0000 0.0000 0.0000 1
Mg1 0.5000 0.5000 0.3499 1
W1 0.0000 0.0000 0.5549 1
W2 0.5000 0.5000 0.6849 1
```

Results
spin magnetization	0.7	μB per cell
crystal system	tetragonal
formation enthalpy at 0 K	3.03	eV per formula unit

=====

Entry 9:
Material: KMgW2
Method: DFT, meta-GGA SCAN
State: PBEsol geometry

Geometry as CIF:
```
data_KMgW2
_cell_length_a 2.7697
_cell_length_b 4.0549
_cell_length_c 8.3940
_cell_angle_alpha 90.00
_cell_angle_beta 97.04
_cell_angle_gamma 90.00
_space_group_name_H-M_alt 'P 1 m 1'
_space_group_IT_number 6
loop_
_space_group_symop_operation_xyz
'x,y,z'
'x,-y,z'
loop_
_atom_site_label
_atom_site_fract_x
_atom_site_fract_y
_atom_site_fract_z
_atom_site_occupancy
K1 0.0000 0.0000 0.0000 1
Mg1 0.5961 0.5000 0.3476 1
W1 0.1486 0.0000 0.5419 1
W2 0.5367 0.5000 0.6875 1
```

Results
spin magnetization	0.0	μB per cell
crystal system	monoclinic
formation enthalpy at 0 K	3.36	eV per formula unit

=====

Entry 10:
Material: KMgW
Method: DFT, meta-GGA SCAN
State: PBEsol geometry

Geometry as CIF:
```
data_KMgW
_cell_length_a 7.4878
_cell_length_b 7.4878
_cell_length_c 7.4878
_cell_angle_alpha 90.00
_cell_angle_beta 90.00
_cell_angle_gamma 90.00
_space_group_name_H-M_alt 'F -4 3 m'
_space_group_IT_number 216
_space_group_name_Hall 'F -4 2 3'
loop_
_atom_site_label
_atom_site_fract_x
_atom_site_fract_y
_atom_site_fract_z
_atom_site_occupancy
K1 0.0000 0.0000 0.0000 1
Mg1 0.2500 0.2500 0.7500 1
W1 0.2500 0.2500 0.2500 1
```

Results
spin magnetization	19.7	μB per cell
crystal system	cubic
formation enthalpy at 0 K	7.53	eV per formula unit

=====

Entry 11:
Material: KMg2Zn
Method: DFT, meta-GGA SCAN
State: PBEsol geometry

Geometry as CIF:
```
data_KMg2Zn
_cell_length_a 5.1767
_cell_length_b 5.1767
_cell_length_c 7.3937
_cell_angle_alpha 90.00
_cell_angle_beta 90.00
_cell_angle_gamma 90.00
_space_group_name_H-M_alt 'I 4/m m m'
_space_group_IT_number 139
_space_group_name_Hall '-I 4 2'
loop_
_atom_site_label
_atom_site_fract_x
_atom_site_fract_y
_atom_site_fract_z
_atom_site_occupancy
K1 0.0000 0.0000 0.0000 1
Mg1 0.0000 0.5000 0.2500 1
Zn1 0.0000 0.0000 0.5000 1
```

Results
spin magnetization	0.0	μB per cell
crystal system	tetragonal
formation enthalpy at 0 K	1.12	eV per formula unit

=====

Entry 12:
Material: KMgZn2
Method: DFT, meta-GGA SCAN
State: PBEsol geometry

Geometry as CIF:
```
data_KMgZn2
_cell_length_a 7.1259
_cell_length_b 7.1259
_cell_length_c 7.1259
_cell_angle_alpha 90.00
_cell_angle_beta 90.00
_cell_angle_gamma 90.00
_space_group_name_H-M_alt 'F -4 3 m'
_space_group_IT_number 216
_space_group_name_Hall 'F -4 2 3'
loop_
_atom_site_label
_atom_site_fract_x
_atom_site_fract_y
_atom_site_fract_z
_atom_site_occupancy
K1 0.0000 0.0000 0.0000 1
Mg1 0.2500 0.2500 0.2500 1
Zn1 0.0000 0.0000 0.5000 1
Zn2 0.2500 0.2500 0.7500 1
```

Results
spin magnetization	0.0	μB per cell
crystal system	cubic
formation enthalpy at 0 K	1.25	eV per formula unit

=====

Entry 13:
Material: K3MgZn
Method: DFT, meta-GGA SCAN
State: PBEsol geometry

Geometry as CIF:
```
data_K3MgZn
_cell_length_a 6.8377
_cell_length_b 6.8377
_cell_length_c 6.8377
_cell_angle_alpha 90.00
_cell_angle_beta 90.00
_cell_angle_gamma 90.00
_space_group_name_H-M_alt 'P m -3 m'
_space_group_IT_number 221
_space_group_name_Hall '-P 4 2 3'
loop_
_atom_site_label
_atom_site_fract_x
_atom_site_fract_y
_atom_site_fract_z
_atom_site_occupancy
K1 0.0000 0.0000 0.5000 1
Mg1 0.0000 0.0000 0.0000 1
Zn1 0.5000 0.5000 0.5000 1
```

Results
spin magnetization	0.0	μB per cell
crystal system	cubic
formation enthalpy at 0 K	2.50	eV per formula unit

=====

Entry 14:
Material: K2MgZr
Method: DFT, meta-GGA SCAN
State: PBEsol geometry

Geometry as CIF:
```
data_K2MgZr
_cell_length_a 4.6328
_cell_length_b 4.6328
_cell_length_c 6.3156
_cell_angle_alpha 90.00
_cell_angle_beta 90.00
_cell_angle_gamma 90.00
_space_group_name_H-M_alt 'P 4/m m m'
_space_group_IT_number 123
_space_group_name_Hall '-P 4 2'
loop_
_atom_site_label
_atom_site_fract_x
_atom_site_fract_y
_atom_site_fract_z
_atom_site_occupancy
K1 0.0000 0.5000 0.0000 1
Mg1 0.0000 0.0000 0.5000 1
Zr1 0.5000 0.5000 0.5000 1
```

Results
spin magnetization	2.7	μB per cell
crystal system	tetragonal
formation enthalpy at 0 K	3.09	eV per formula unit

=====

| no. | final energy (eV/atom) | calculated density (g/cm³) | N(E_F) (states/eV per cell) |
| --- | --- | --- | --- |
| 1 | -22.521 | 4.188 | 4.84 |
| 2 | -39.709 | 6.819 | 1.68 |
| 3 | -39.575 | 6.245 | 1.76 |
| 4 | -37.146 | 9.432 | 5.64 |
| 5 | -17.573 | 3.100 | 3.04 |
| 6 | -21.301 | 5.167 | 6.83 |
| 7 | -36.880 | 7.736 | 6.06 |
| 8 | -37.412 | 7.515 | 3.97 |
| 9 | -37.330 | 7.651 | 2.77 |
| 10 | -25.152 | 3.912 | 4.14 |
| 11 | -7.668 | 2.566 | 4.61 |
| 12 | -9.772 | 3.565 | 8.46 |
| 13 | -8.195 | 1.075 | 4.17 |
| 14 | -12.310 | 2.373 | 2.86 |